--- A ---
# MgBe3Co

A relaxed structure of MgBe3Co (GGA-PBE, Alexandria via LeMat-Bulk).

```
data_MgBe3Co
_cell_length_a 3.990
_cell_length_b 3.990
_cell_length_c 3.990
_cell_angle_alpha 90.00
_cell_angle_beta 90.00
_cell_angle_gamma 90.00
_space_group_name_H-M_alt 'P m -3 m'
_space_group_IT_number 221
_space_group_name_Hall '-P 4 2 3'
loop_
_atom_site_label
_atom_site_fract_x
_atom_site_fract_y
_atom_site_fract_z
Mg1 0.000 0.000 0.000
Be1 0.000 0.500 0.500
Co1 0.500 0.500 0.500
```

Properties
DOS(E_F): 1.558 states/eV/cell
total magnetization: 0.000 μB per cell
crystal system: cubic



--- B ---
# MgBe3Co

A relaxed structure of MgBe3Co (GGA-PBE, Alexandria via LeMat-Bulk).

```
data_MgBe3Co
_cell_length_a 4.164
_cell_length_b 4.164
_cell_length_c 4.164
_cell_angle_alpha 90.00
_cell_angle_beta 90.00
_cell_angle_gamma 90.00
_space_group_name_H-M_alt 'P m -3 m'
_space_group_IT_number 221
_space_group_name_Hall '-P 4 2 3'
loop_
_atom_site_label
_atom_site_fract_x
_atom_site_fract_y
_atom_site_fract_z
Mg1 0.000 0.000 0.000
Be1 0.000 0.000 0.500
Co1 0.500 0.500 0.500
```

Properties
DOS(E_F): 4.219 states/eV/cell
total magnetization: 0.004 μB per cell
crystal system: cubic



Stability order, top to bottom: A, B



--- A ---
# Mn3BeCo

A relaxed structure of Mn3BeCo (GGA-PBE, Alexandria via LeMat-Bulk).

```
data_Mn3BeCo
_cell_length_a 3.854
_cell_length_b 3.854
_cell_length_c 3.854
_cell_angle_alpha 90.00
_cell_angle_beta 90.00
_cell_angle_gamma 90.00
_space_group_name_H-M_alt 'P m -3 m'
_space_group_IT_number 221
_space_group_name_Hall '-P 4 2 3'
loop_
_atom_site_label
_atom_site_fract_x
_atom_site_fract_y
_atom_site_fract_z
Mn1 0.000 0.000 0.500
Be1 0.000 0.000 0.000
Co1 0.500 0.500 0.500
```

Properties
DOS(E_F): 6.564 states/eV/cell
total magnetization: 3.565 μB per cell
crystal system: cubic



--- B ---
# Mn3BeCo

A relaxed structure of Mn3BeCo (GGA-PBE, Alexandria via LeMat-Bulk).

```
data_Mn3BeCo
_cell_length_a 4.398
_cell_length_b 4.398
_cell_length_c 4.398
_cell_angle_alpha 90.00
_cell_angle_beta 90.00
_cell_angle_gamma 90.00
_space_group_name_H-M_alt 'P m -3 m'
_space_group_IT_number 221
_space_group_name_Hall '-P 4 2 3'
loop_
_atom_site_label
_atom_site_fract_x
_atom_site_fract_y
_atom_site_fract_z
Mn1 0.000 0.000 0.500
Be1 0.500 0.500 0.500
Co1 0.000 0.000 0.000
```

Properties
DOS(E_F): 4.056 states/eV/cell
total magnetization: 11.921 μB per cell
crystal system: cubic



Stability order, top to bottom: A, B



--- A ---
# MnBeCo3

A relaxed structure of MnBeCo3 (GGA-PBE, Alexandria via LeMat-Bulk).

```
data_MnBeCo3
_cell_length_a 3.867
_cell_length_b 3.867
_cell_length_c 3.867
_cell_angle_alpha 90.00
_cell_angle_beta 90.00
_cell_angle_gamma 90.00
_space_group_name_H-M_alt 'P m -3 m'
_space_group_IT_number 221
_space_group_name_Hall '-P 4 2 3'
loop_
_atom_site_label
_atom_site_fract_x
_atom_site_fract_y
_atom_site_fract_z
Mn1 0.000 0.000 0.000
Be1 0.500 0.500 0.500
Co1 0.000 0.500 0.500
```

Properties
DOS(E_F): 11.340 states/eV/cell
total magnetization: 6.626 μB per cell
crystal system: cubic



--- B ---
# MnBeCo3

A relaxed structure of MnBeCo3 (GGA-PBE, Alexandria via LeMat-Bulk).

```
data_MnBeCo3
_cell_length_a 4.105
_cell_length_b 4.105
_cell_length_c 4.105
_cell_angle_alpha 90.00
_cell_angle_beta 90.00
_cell_angle_gamma 90.00
_space_group_name_H-M_alt 'P m -3 m'
_space_group_IT_number 221
_space_group_name_Hall '-P 4 2 3'
loop_
_atom_site_label
_atom_site_fract_x
_atom_site_fract_y
_atom_site_fract_z
Mn1 0.000 0.000 0.000
Be1 0.500 0.500 0.500
Co1 0.000 0.000 0.500
```

Properties
DOS(E_F): 6.860 states/eV/cell
total magnetization: 0.824 μB per cell
crystal system: cubic



Stability order, top to bottom: A, B



--- A ---
# Be2CoMo

A relaxed structure of Be2CoMo (GGA-PBE, Alexandria via LeMat-Bulk).

```
data_Be2CoMo
_cell_length_a 2.707
_cell_length_b 3.970
_cell_length_c 7.928
_cell_angle_alpha 90.00
_cell_angle_beta 90.00
_cell_angle_gamma 90.00
_space_group_name_H-M_alt 'I m m 2'
_space_group_IT_number 44
_space_group_name_Hall 'I 2 -2'
loop_
_atom_site_label
_atom_site_fract_x
_atom_site_fract_y
_atom_site_fract_z
Be1 0.000 0.000 0.000
Be2 0.000 0.500 0.280
Co1 0.000 0.500 0.741
Mo1 0.000 0.000 0.513
```

Properties
DOS(E_F): 5.578 states/eV/cell
total magnetization: 0.000 μB per cell
crystal system: orthorhombic



--- B ---
# Be2CoMo

A relaxed structure of Be2CoMo (GGA-PBE, Alexandria via LeMat-Bulk).

```
data_Be2CoMo
_cell_length_a 3.582
_cell_length_b 3.582
_cell_length_c 6.721
_cell_angle_alpha 90.00
_cell_angle_beta 90.00
_cell_angle_gamma 90.00
_space_group_name_H-M_alt 'I -4 m 2'
_space_group_IT_number 119
_space_group_name_Hall 'I -4 -2'
loop_
_atom_site_label
_atom_site_fract_x
_atom_site_fract_y
_atom_site_fract_z
Be1 0.000 0.000 0.000
Be2 0.000 0.500 0.250
Co1 0.000 0.500 0.750
Mo1 0.000 0.000 0.500
```

Properties
DOS(E_F): 5.840 states/eV/cell
total magnetization: 0.004 μB per cell
crystal system: tetragonal



--- C ---
# Be2CoMo

A relaxed structure of Be2CoMo (GGA-PBE, Alexandria via LeMat-Bulk).

```
data_Be2CoMo
_cell_length_a 5.579
_cell_length_b 5.579
_cell_length_c 5.579
_cell_angle_alpha 90.00
_cell_angle_beta 90.00
_cell_angle_gamma 90.00
_space_group_name_H-M_alt 'F -4 3 m'
_space_group_IT_number 216
_space_group_name_Hall 'F -4 2 3'
loop_
_atom_site_label
_atom_site_fract_x
_atom_site_fract_y
_atom_site_fract_z
Be1 0.000 0.000 0.000
Be2 0.250 0.250 0.250
Co1 0.250 0.250 0.750
Mo1 0.000 0.000 0.500
```

Properties
DOS(E_F): 15.777 states/eV/cell
total magnetization: 3.003 μB per cell
crystal system: cubic



--- D ---
# Be2CoMo

A relaxed structure of Be2CoMo (GGA-PBE, Alexandria via LeMat-Bulk).

```
data_Be2CoMo
_cell_length_a 5.523
_cell_length_b 5.523
_cell_length_c 5.523
_cell_angle_alpha 90.00
_cell_angle_beta 90.00
_cell_angle_gamma 90.00
_space_group_name_H-M_alt 'F m -3 m'
_space_group_IT_number 225
_space_group_name_Hall '-F 4 2 3'
loop_
_atom_site_label
_atom_site_fract_x
_atom_site_fract_y
_atom_site_fract_z
Be1 0.250 0.250 0.250
Co1 0.000 0.000 0.000
Mo1 0.000 0.000 0.500
```

Properties
DOS(E_F): 13.652 states/eV/cell
total magnetization: 6.395 μB per cell
crystal system: cubic



Stability order, top to bottom: B, C, A, D



--- A ---
# Be2CoMo

A relaxed structure of Be2CoMo (GGA-PBE, Alexandria via LeMat-Bulk).

```
data_Be2CoMo
_cell_length_a 4.914
_cell_length_b 7.355
_cell_length_c 2.524
_cell_angle_alpha 90.00
_cell_angle_beta 104.06
_cell_angle_gamma 90.00
_space_group_name_H-M_alt 'C 1 2/m 1'
_space_group_IT_number 12
_space_group_name_Hall '-C 2y'
loop_
_atom_site_label
_atom_site_fract_x
_atom_site_fract_y
_atom_site_fract_z
Be1 0.250 0.250 0.000
Co1 0.000 0.000 0.500
Mo1 0.000 0.500 0.500
```

Properties
DOS(E_F): 6.851 states/eV/cell
total magnetization: 0.002 μB per cell
crystal system: monoclinic



--- B ---
# Be2CoMo

A relaxed structure of Be2CoMo (GGA-PBE, Alexandria via LeMat-Bulk).

```
data_Be2CoMo
_cell_length_a 3.550
_cell_length_b 3.550
_cell_length_c 3.467
_cell_angle_alpha 90.00
_cell_angle_beta 90.00
_cell_angle_gamma 90.00
_space_group_name_H-M_alt 'P 4/m m m'
_space_group_IT_number 123
_space_group_name_Hall '-P 4 2'
loop_
_atom_site_label
_atom_site_fract_x
_atom_site_fract_y
_atom_site_fract_z
Be1 0.000 0.500 0.000
Co1 0.000 0.000 0.500
Mo1 0.500 0.500 0.500
```

Properties
DOS(E_F): 3.439 states/eV/cell
total magnetization: 1.388 μB per cell
crystal system: tetragonal



Stability order, top to bottom: B, A



--- A ---
# Be2CoMo

A relaxed structure of Be2CoMo (GGA-PBE, Alexandria via LeMat-Bulk).

```
data_Be2CoMo
_cell_length_a 3.545
_cell_length_b 2.677
_cell_length_c 8.893
_cell_angle_alpha 90.00
_cell_angle_beta 90.00
_cell_angle_gamma 90.00
_space_group_name_H-M_alt 'A m m 2'
_space_group_IT_number 38
_space_group_name_Hall 'A 2 -2'
loop_
_atom_site_label
_atom_site_fract_x
_atom_site_fract_y
_atom_site_fract_z
Be1 0.000 0.000 0.000
Be2 0.500 0.000 0.124
Co1 0.000 0.000 0.713
Mo1 0.500 0.000 0.387
```

Properties
DOS(E_F): 6.198 states/eV/cell
total magnetization: 1.472 μB per cell
crystal system: orthorhombic



--- B ---
# Be2CoMo

A relaxed structure of Be2CoMo (GGA-PBE, Alexandria via LeMat-Bulk).

```
data_Be2CoMo
_cell_length_a 2.670
_cell_length_b 2.671
_cell_length_c 5.824
_cell_angle_alpha 90.00
_cell_angle_beta 90.08
_cell_angle_gamma 90.00
_space_group_name_H-M_alt 'P 1 2/m 1'
_space_group_IT_number 10
_space_group_name_Hall '-P 2y'
loop_
_atom_site_label
_atom_site_fract_x
_atom_site_fract_y
_atom_site_fract_z
Be1 0.001 0.000 0.199
Co1 0.500 0.500 0.000
Mo1 0.500 0.500 0.500
```

Properties
DOS(E_F): 3.474 states/eV/cell
total magnetization: 0.001 μB per cell
crystal system: monoclinic



Stability order, top to bottom: B, A